Rb2TlMoO4 after structural relaxation, computed with PBE+U.

Properties
Size of the total moment: 1.0 μB/f.u.
Volume: 26.58 Å³/atom
Total energy: -5.3468 eV/atom
Symmetry: No. 121

a = 6.081 Å, b = 6.081 Å, c = 7.179 Å
α = 115.05°, β = 115.05°, γ = 90.01°
Positions (direct):
Rb  0.750  0.250  0.500
Rb  0.250  0.750  0.500
Tl  0.000  0.000  0.000
Mo  0.500  0.500  0.000
O  0.581  0.581  0.818
O  0.419  0.762  0.182
O  0.762  0.419  0.182
O  0.238  0.238  0.818